Density functional theory data (GGA-PBE) for a relaxed TmZnCd2 crystal.

Cell lengths 3.447, 3.447, 7.365 Å; angles 90.00, 90.00, 90.00 degrees
Sites, in units of the cell vectors:
Cd (0.000, 0.000, 0.219)
Tm (0.500, 0.500, 0.500)
Cd (0.000, 0.000, 0.781)
Zn (0.500, 0.500, 0.000)

Output
- magnetization (μB/cell) = 0.10
- VASP energy (eV/cell) = -8.1
- calculated formation energy (eV/atom) = -0.1213
- SG = No. 123